Material: ErIn5
Method: DFT, GGA-PBE
State: optimized geometry

Computed properties:
Space-group type = C2/m, No. 12
D(E_F) = 2.71 states/eV per cell
Energy relative to the lowest polymorph listed for this composition = 0.23 eV per formula unit
Total magnetization = 0.000 Bohr magnetons per cell

Lattice parameters (Å, degrees): 6.0356 5.7238 5.7502 101.09 121.66 68.50
Closest atoms and distances in Å follow each position.
Fractional coordinates of all 6 atoms:
1 Er 0.9722 0.0000 0.9443  12 In 3.29-3.41
2 In 0.8069 0.5000 0.6137  10 In 3.24-3.44, 2 Er 3.29
3 In 0.4723 0.5000 0.9446  10 In 3.27-3.43, 2 Er 3.31
4 In 0.3094 0.0000 0.6188  9 In 3.19-3.47, 3 Er 3.30-3.41
5 In 0.6348 0.0000 0.2696  9 In 3.19-3.47, 3 Er 3.30-3.41
6 In 0.1378 0.5000 0.2756  10 In 3.24-3.44, 2 Er 3.29


Material: Er8In
Method: DFT, GGA-PBE
State: optimized geometry

Computed properties:
Space-group type = I4/mmm, No. 139
D(E_F) = 14.28 states/eV per cell
Energy relative to the lowest polymorph listed for this composition = 0.55 eV per formula unit
Total magnetization = 1.756 Bohr magnetons per cell

Lattice parameters (Å, degrees): 3.8071 8.6088 8.6088 87.20 77.23 77.23
Closest atoms and distances in Å follow each position.
Fractional coordinates of all 9 atoms:
1 Er 0.6599 0.6802 0.0000  2 In 3.29, 6 Er 3.42-3.58
2 Er 0.3401 0.3198 0.0000  2 In 3.29, 6 Er 3.42-3.58
3 Er 0.6599 0.0000 0.6802  2 In 3.29, 6 Er 3.42-3.58
4 Er 0.3378 0.6622 0.6622  8 Er 3.32-3.42
5 Er 0.0000 0.6622 0.3378  8 Er 3.32-3.42
6 Er 0.0000 0.3378 0.6622  8 Er 3.32-3.42
7 Er 0.3401 0.0000 0.3198  2 In 3.29, 6 Er 3.42-3.58
8 Er 0.6622 0.3378 0.3378  8 Er 3.32-3.42
9 In 0.0000 0.0000 0.0000  8 Er 3.29


Material: Er4In
Method: DFT, GGA-PBE
State: optimized geometry

Computed properties:
Space-group type = Pm-3m, No. 221
D(E_F) = 8.84 states/eV per cell
Energy relative to the lowest polymorph listed for this composition = 2.76 eV per formula unit
Total magnetization = 0.018 Bohr magnetons per cell

Lattice parameters (Å, degrees): 5.6682 5.6682 5.6682 90.00 90.00 90.00
Closest atoms and distances in Å follow each position.
Fractional coordinates of all 5 atoms:
1 Er 0.0000 0.5000 0.5000  2 In 2.83
2 Er 0.5000 0.5000 0.0000  2 In 2.83
3 Er 0.0000 0.0000 0.0000  12 Er 4.01
4 Er 0.5000 0.0000 0.5000  2 In 2.83
5 In 0.5000 0.5000 0.5000  6 Er 2.83


Material: ErIn6
Method: DFT, GGA-PBE
State: optimized geometry

Computed properties:
Space-group type = Im-3m, No. 229
D(E_F) = 6.64 states/eV per cell
Total magnetization = 0.000 Bohr magnetons per cell

Lattice parameters (Å, degrees): 6.9116 6.9116 6.9116 109.47 109.47 109.47
Closest atoms and distances in Å follow each position.
Fractional coordinates of all 7 atoms:
1 In 0.2500 0.7500 0.5000  4 In 2.82
2 In 0.5000 0.7500 0.2500  4 In 2.82
3 In 0.2500 0.5000 0.7500  4 In 2.82
4 In 0.7500 0.5000 0.2500  4 In 2.82
5 In 0.7500 0.2500 0.5000  4 In 2.82
6 In 0.5000 0.2500 0.7500  4 In 2.82
7 Er 0.0000 0.0000 0.0000  24 In 4.46


no.,energy of formation (eV per atom),volume (Å³ per cell)
1,-0.14,157.33
2,-0.01,268.36
3,0.44,182.11
4,0.50,254.16